P) A plane-wave DFT calculation with GGA-PBE was carried out for a relaxed NaHg2HAu crystal.

Cell lengths 5.525, 5.525, 3.554 Å; angles 90.00, 90.00, 90.00 degrees
Element x y z (fractional)
Na 0.000 0.000 0.000
Hg 0.000 0.500 0.500
Hg 0.500 0.000 0.500
H 0.500 0.500 0.500
Au 0.500 0.500 0.000

Calculated values
Magnetization   0.00 μB per formula unit

---

Q) A plane-wave DFT calculation with GGA-PBE was carried out for a relaxed NaHg2HAu crystal.

Cell lengths 5.694, 5.694, 3.578 Å; angles 90.00, 90.00, 90.00 degrees
Element x y z (fractional)
Na 0.000 0.000 0.000
Hg 0.000 0.500 0.500
Hg 0.500 0.000 0.500
H 0.500 0.500 0.000
Au 0.500 0.500 0.500

Calculated values
Magnetization   0.00 μB per formula unit

---

Ranked by calculated energy, most stable first: Q), P).

---

P) A plane-wave DFT calculation with GGA-PBE was carried out for a relaxed HgHPdAu2 crystal.

Cell lengths 3.975, 3.975, 4.972 Å; angles 90.00, 90.00, 90.00 degrees
Element x y z (fractional)
Hg 0.000 0.000 0.000
H 0.000 0.000 0.500
Pd 0.500 0.500 0.000
Au 0.000 0.500 0.500
Au 0.500 0.000 0.500

Calculated values
Magnetization   0.00 μB per formula unit

---

Q) A plane-wave DFT calculation with GGA-PBE was carried out for a relaxed HgHPdAu2 crystal.

Cell lengths 4.521, 4.521, 3.710 Å; angles 90.00, 90.00, 90.00 degrees
Element x y z (fractional)
Hg 0.000 0.000 0.000
H 0.500 0.500 0.500
Pd 0.500 0.500 0.000
Au 0.000 0.500 0.500
Au 0.500 0.000 0.500

Calculated values
Magnetization   0.00 μB per formula unit

---

Ranked by calculated energy, most stable first: Q), P).

---

P) A plane-wave DFT calculation with GGA-PBE was carried out for a relaxed HgHPt2Au crystal.

Cell lengths 4.112, 4.112, 4.291 Å; angles 90.00, 90.00, 90.00 degrees
Element x y z (fractional)
Hg 0.000 0.000 0.000
H 0.500 0.500 0.500
Pt 0.000 0.500 0.500
Pt 0.500 0.000 0.500
Au 0.500 0.500 0.000

Calculated values
Magnetization   0.00 μB per formula unit

---

Q) A plane-wave DFT calculation with GGA-PBE was carried out for a relaxed HgHPt2Au crystal.

Cell lengths 4.036, 4.036, 4.480 Å; angles 90.00, 90.00, 90.00 degrees
Element x y z (fractional)
Hg 0.000 0.000 0.000
H 0.000 0.000 0.500
Pt 0.000 0.500 0.500
Pt 0.500 0.000 0.500
Au 0.500 0.500 0.000

Calculated values
Magnetization   0.00 μB per formula unit

---

Ranked by calculated energy, most stable first: P), Q).

---

P) A plane-wave DFT calculation with GGA-PBE was carried out for a relaxed Rb2HgHAu crystal.

Cell lengths 6.692, 6.692, 3.785 Å; angles 90.00, 90.00, 90.00 degrees
Element x y z (fractional)
Rb 0.000 0.500 0.000
Rb 0.500 0.000 0.000
Hg 0.000 0.000 0.500
H 0.500 0.500 0.500
Au 0.500 0.500 0.000

Calculated values
Magnetization   0.00 μB per formula unit

---

Q) A plane-wave DFT calculation with GGA-PBE was carried out for a relaxed Rb2HgHAu crystal.

Cell lengths 5.681, 5.681, 4.720 Å; angles 90.00, 90.00, 90.00 degrees
Element x y z (fractional)
Rb 0.000 0.500 0.000
Rb 0.500 0.000 0.000
Hg 0.000 0.000 0.500
H 0.000 0.000 0.000
Au 0.500 0.500 0.500

Calculated values
Magnetization   0.00 μB per formula unit

---

Ranked by calculated energy, most stable first: Q), P).

---

P) A plane-wave DFT calculation with GGA-PBE was carried out for a relaxed HgHRhAuS crystal.

Cell lengths 7.421, 7.421, 3.281 Å; angles 90.73, 90.73, 27.17 degrees
Element x y z (fractional)
Hg 0.000 0.000 0.000
H 0.860 0.860 0.488
Rh 0.378 0.378 0.488
Au 0.649 0.649 0.982
S 0.271 0.271 0.982

Calculated values
Magnetization   0.00 μB per formula unit

---

Q) A plane-wave DFT calculation with GGA-PBE was carried out for a relaxed HgHRhAuS crystal.

Cell lengths 4.808, 3.065, 6.410 Å; angles 90.00, 99.80, 90.00 degrees
Element x y z (fractional)
Hg 0.000 0.000 0.000
H 0.133 0.000 0.535
Rh 0.479 0.500 0.883
Au 0.555 0.000 0.258
S 0.416 0.000 0.620

Calculated values
Magnetization   0.00 μB per formula unit

---

R) A plane-wave DFT calculation with GGA-PBE was carried out for a relaxed HgHRhAuS crystal.

Cell lengths 2.939, 5.038, 5.651 Å; angles 83.93, 89.02, 89.81 degrees
Element x y z (fractional)
Hg 0.000 0.000 0.000
H 0.525 0.462 0.047
Rh 0.014 0.472 0.241
Au 0.509 0.027 0.529
S 0.505 0.539 0.538

Calculated values
Magnetization   0.00 μB per formula unit

---

S) A plane-wave DFT calculation with GGA-PBE was carried out for a relaxed HgHRhAuS crystal.

Cell lengths 3.161, 5.089, 6.266 Å; angles 101.29, 90.09, 107.54 degrees
Element x y z (fractional)
Hg 0.000 0.000 0.000
H 0.438 0.886 0.485
Rh 0.750 0.502 0.155
Au 0.239 0.482 0.784
S 0.298 0.599 0.413

Calculated values
Magnetization   0.00 μB per formula unit

---

Ranked by calculated energy, most stable first: S), Q), P), R).

---

P) A plane-wave DFT calculation with GGA-PBE was carried out for a relaxed HgHRhAuS crystal.

Cell lengths 3.138, 5.468, 5.980 Å; angles 116.49, 90.04, 90.16 degrees
Element x y z (fractional)
Hg 0.000 0.000 0.000
H 0.503 0.668 0.191
Rh 0.001 0.491 0.973
Au 0.502 0.518 0.396
S 0.500 0.313 0.671

Calculated values
Magnetization   0.00 μB per formula unit

---

Q) A plane-wave DFT calculation with GGA-PBE was carried out for a relaxed HgHRhAuS crystal.

Cell lengths 2.959, 4.783, 6.381 Å; angles 103.97, 103.39, 90.02 degrees
Element x y z (fractional)
Hg 0.000 0.000 0.000
H 0.647 0.434 0.296
Rh 0.234 0.358 0.469
Au 0.682 0.829 0.367
S 0.877 0.419 0.756

Calculated values
Magnetization   0.00 μB per formula unit

---

R) A plane-wave DFT calculation with GGA-PBE was carried out for a relaxed HgHRhAuS crystal.

Cell lengths 6.792, 6.792, 6.792 Å; angles 150.61, 149.31, 43.02 degrees
Element x y z (fractional)
Hg 0.000 0.000 0.000
H 0.860 0.360 0.500
Rh 0.382 0.382 0.000
Au 0.620 0.620 0.000
S 0.261 0.761 0.500

Calculated values
Magnetization   0.00 μB per formula unit

---

S) A plane-wave DFT calculation with GGA-PBE was carried out for a relaxed HgHRhAuS crystal.

Cell lengths 4.663, 3.176, 6.177 Å; angles 90.00, 110.22, 90.00 degrees
Element x y z (fractional)
Hg 0.000 0.000 0.000
H 0.562 0.500 0.434
Rh 0.193 0.500 0.428
Au 0.654 0.000 0.303
S 0.311 0.000 0.709

Calculated values
Magnetization   0.00 μB per formula unit

---

Ranked by calculated energy, most stable first: P), R), S), Q).

---

P) A plane-wave DFT calculation with GGA-PBE was carried out for a relaxed Ti2HgHAu crystal.

Cell lengths 4.168, 4.168, 4.200 Å; angles 90.00, 90.00, 90.00 degrees
Element x y z (fractional)
Ti 0.000 0.500 0.000
Ti 0.500 0.000 0.000
Hg 0.000 0.000 0.500
H 0.500 0.500 0.000
Au 0.500 0.500 0.500

Calculated values
Magnetization   0.00 μB per formula unit

---

Q) A plane-wave DFT calculation with GGA-PBE was carried out for a relaxed Ti2HgHAu crystal.

Cell lengths 4.096, 4.096, 4.360 Å; angles 90.00, 90.00, 90.00 degrees
Element x y z (fractional)
Ti 0.000 0.500 0.000
Ti 0.500 0.000 0.000
Hg 0.000 0.000 0.500
H 0.000 0.000 0.000
Au 0.500 0.500 0.500

Calculated values
Magnetization   0.00 μB per formula unit

---

Ranked by calculated energy, most stable first: P), Q).

---

P) A plane-wave DFT calculation with GGA-PBE was carried out for a relaxed YHgHAu2 crystal.

Cell lengths 4.673, 4.673, 4.187 Å; angles 90.00, 90.00, 90.00 degrees
Element x y z (fractional)
Y 0.000 0.000 0.000
Hg 0.500 0.500 0.000
H 0.000 0.000 0.500
Au 0.000 0.500 0.500
Au 0.500 0.000 0.500

Calculated values
Magnetization   0.00 μB per formula unit

---

Q) A plane-wave DFT calculation with GGA-PBE was carried out for a relaxed YHgHAu2 crystal.

Cell lengths 5.586, 5.586, 6.145 Å; angles 90.00, 90.00, 90.00 degrees
Element x y z (fractional)
Y 0.000 0.000 0.000
Hg 0.000 0.000 0.500
H 0.500 0.500 0.500
Au 0.000 0.500 0.000
Au 0.500 0.000 0.000

Calculated values
Magnetization   0.44 μB per formula unit

---

Ranked by calculated energy, most stable first: P), Q).

---

P) A plane-wave DFT calculation with GGA-PBE was carried out for a relaxed HoHAu crystal.

Cell lengths 5.146, 5.146, 5.146 Å; angles 140.54, 140.54, 57.03 degrees
Element x y z (fractional)
Ho 0.000 0.000 0.000
H 0.462 0.462 0.000
Au 0.686 0.686 0.000

Calculated values
Magnetization   0.00 μB per formula unit

---

Q) A plane-wave DFT calculation with GGA-PBE was carried out for a relaxed HoHAu crystal.

Cell lengths 3.710, 3.710, 6.988 Å; angles 90.00, 90.00, 90.00 degrees
Element x y z (fractional)
Ho 0.250 0.250 0.177
Ho 0.750 0.750 0.823
H 0.250 0.750 0.000
H 0.750 0.250 0.000
Au 0.250 0.250 0.613
Au 0.750 0.750 0.387

Calculated values
Magnetization   0.00 μB per formula unit

---

Ranked by calculated energy, most stable first: Q), P).

---

P) A plane-wave DFT calculation with GGA-PBE was carried out for a relaxed H2AuI2 crystal.

Cell lengths 4.523, 4.523, 16.651 Å; angles 90.11, 90.11, 126.50 degrees
Element x y z (fractional)
H 0.186 0.810 0.594
H 0.190 0.814 0.906
H 0.810 0.186 0.094
H 0.814 0.190 0.406
Au 0.313 0.687 0.250
Au 0.687 0.313 0.750
I 0.313 0.685 0.095
I 0.315 0.687 0.405
I 0.685 0.313 0.595
I 0.687 0.315 0.905

Calculated values
Magnetization   0.00 μB per formula unit

---

Q) A plane-wave DFT calculation with GGA-PBE was carried out for a relaxed H2AuI2 crystal.

Cell lengths 6.949, 6.949, 6.949 Å; angles 148.31, 148.31, 45.42 degrees
Element x y z (fractional)
H 0.250 0.750 0.500
H 0.750 0.250 0.500
Au 0.000 0.000 0.000
I 0.356 0.356 0.000
I 0.644 0.644 0.000

Calculated values
Magnetization   0.00 μB per formula unit

---

Ranked by calculated energy, most stable first: P), Q).

---

P) A plane-wave DFT calculation with GGA-PBE was carried out for a relaxed H3AuI crystal.

Cell lengths 3.975, 3.975, 3.975 Å; angles 90.00, 90.00, 90.00 degrees
Element x y z (fractional)
H 0.000 0.000 0.500
H 0.000 0.500 0.000
H 0.500 0.000 0.000
Au 0.000 0.000 0.000
I 0.500 0.500 0.500

Calculated values
Magnetization   0.00 μB per formula unit

---

Q) A plane-wave DFT calculation with GGA-PBE was carried out for a relaxed H3AuI crystal.

Cell lengths 4.056, 4.056, 4.056 Å; angles 90.00, 90.00, 90.00 degrees
Element x y z (fractional)
H 0.000 0.000 0.500
H 0.000 0.500 0.000
H 0.500 0.000 0.000
Au 0.500 0.500 0.500
I 0.000 0.000 0.000

Calculated values
Magnetization   0.00 μB per formula unit

---

Ranked by calculated energy, most stable first: P), Q).

---

P) A plane-wave DFT calculation with GGA-PBE was carried out for a relaxed HAu2I crystal.

Cell lengths 4.812, 4.812, 4.812 Å; angles 60.00, 60.00, 60.00 degrees
Element x y z (fractional)
H 0.000 0.000 0.000
Au 0.250 0.250 0.250
Au 0.750 0.750 0.750
I 0.500 0.500 0.500

Calculated values
Magnetization   0.32 μB per formula unit

---

Q) A plane-wave DFT calculation with GGA-PBE was carried out for a relaxed HAu2I crystal.

Cell lengths 6.768, 6.768, 6.768 Å; angles 133.17, 133.17, 68.39 degrees
Element x y z (fractional)
H 0.000 0.000 0.000
H 0.750 0.250 0.500
Au 0.375 0.210 0.335
Au 0.790 0.125 0.165
Au 0.875 0.040 0.665
Au 0.960 0.625 0.835
I 0.250 0.750 0.500
I 0.500 0.500 0.000

Calculated values
Magnetization   0.00 μB per formula unit

---

Ranked by calculated energy, most stable first: Q), P).